11
Lattice="6.3702 -2.9971 0.0000 6.3702 2.9971 0.0000 -1.6217 0.0000 8.1429" Properties=species:S:1:pos:R:3 comment="Tl5PbS5 | Alexandria via LeMat-Bulk | PBE | optimized geometry" formation_energy_uncorrected_mev_per_atom=-245 pbc="T T T"
Tl 0.0000 0.0000 0.0000
Tl 3.0132 0.0000 5.0875
Tl 4.3049 0.0000 1.0392
Tl 6.8138 0.0000 7.1037
Tl 8.1055 0.0000 3.0554
Pb -0.8109 0.0000 4.0714
S 0.8347 0.0000 6.5698
S 1.7161 0.0000 2.6252
S 5.5594 0.0000 4.0714
S 9.4027 0.0000 5.5177
S 10.2840 0.0000 1.5731



9
Lattice="5.4984 0.0000 0.0000 0.0000 5.4984 0.0000 0.0000 0.0000 11.6915" Properties=species:S:1:pos:R:3 comment="La2SmHoTe5 | Alexandria via LeMat-Bulk | PBE | optimized geometry" formation_energy_uncorrected_mev_per_atom=-979 pbc="T T T"
La 0.0000 0.0000 2.0106
La 0.0000 0.0000 9.6809
Sm 2.7492 2.7492 5.8458
Ho 2.7492 2.7492 0.0000
Te 0.0000 0.0000 5.8458
Te 0.0000 2.7492 0.0000
Te 2.7492 0.0000 0.0000
Te 2.7492 2.7492 2.9433
Te 2.7492 2.7492 8.7482



12
Lattice="5.8107 0.0000 0.0000 -2.5140 5.4768 0.0000 -0.5833 -2.7150 6.6889" Properties=species:S:1:pos:R:3 comment="PtAuF4 | Alexandria via LeMat-Bulk | PBE | optimized geometry" formation_energy_uncorrected_mev_per_atom=-895 pbc="T T T"
Pt -0.3561 1.5027 0.7824
Pt 3.0695 1.2590 5.9065
Au -0.2916 -1.3575 3.3444
Au 2.6137 -1.3575 3.3444
F -0.9210 -0.2293 5.7293
F -0.3785 0.6396 2.6074
F 1.3206 -0.0020 0.0995
F 0.6466 3.0423 1.6307
F 2.0668 -0.2805 5.0582
F 1.3928 2.7638 6.5894
F 3.0919 2.1222 4.0815
F 3.6344 2.9910 0.9596



8
Lattice="3.5505 0.0000 0.0000 0.0000 5.4443 0.0000 0.0000 0.0000 8.5633" Properties=species:S:1:pos:R:3 comment="Li2ScCl | Alexandria via LeMat-Bulk | PBE | optimized geometry" e_above_lowest_polymorph_mev_per_atom=26 formation_energy_uncorrected_mev_per_atom=-637 pbc="T T T"
Li 0.0000 0.0000 1.5828
Li 0.0000 0.0000 6.9804
Li 1.7753 2.7222 1.5828
Li 1.7753 2.7222 6.9804
Sc 0.0000 2.7222 4.2816
Sc 1.7753 0.0000 4.2816
Cl 0.0000 2.7222 0.0000
Cl 1.7753 0.0000 0.0000



11
Lattice="5.8918 -5.9838 0.0000 5.8918 5.9838 0.0000 -2.2852 0.0000 5.8588" Properties=species:S:1:pos:R:3 comment="Ac2La7Ho2 | Alexandria via LeMat-Bulk | PBE | optimized geometry" delta_e_f_mev_per_atom=129 e_above_lowest_polymorph_mev_per_atom=0 pbc="T T T"
Ac 2.3793 0.0000 0.6197
Ac 7.1191 0.0000 5.2391
La -1.1426 0.0000 2.9294
La 2.9824 3.2895 1.8920
La 6.5161 3.2895 3.9668
La 3.4476 0.0000 4.1053
La 6.0508 0.0000 1.7535
La 2.9824 -3.2895 1.8920
La 6.5161 -3.2895 3.9668
Ho 5.8918 3.2633 0.0000
Ho 5.8918 -3.2633 0.0000



12
Lattice="5.2740 0.0000 0.0000 0.0000 7.6562 0.0000 0.0000 0.0000 9.3430" Properties=species:S:1:pos:R:3 comment="AcLaTl4 | Alexandria via LeMat-Bulk | PBE | optimized geometry" delta_e_f_mev_per_atom=-295 e_above_lowest_polymorph_mev_per_atom=37 pbc="T T T"
Ac 0.0000 0.0000 0.0000
Ac 2.6370 3.8281 4.6715
La 0.0000 3.8281 0.0000
La 2.6370 0.0000 4.6715
Tl 0.0000 1.7359 3.1162
Tl 0.0000 1.7359 6.2268
Tl 0.0000 5.9203 3.1162
Tl 0.0000 5.9203 6.2268
Tl 2.6370 2.0922 1.5553
Tl 2.6370 2.0922 7.7877
Tl 2.6370 5.5640 1.5553
Tl 2.6370 5.5640 7.7877



14
Lattice="-2.2340 4.4354 6.7195 2.2340 -4.4354 6.7195 2.2340 4.4354 -6.7195" Properties=species:S:1:pos:R:3 comment="Sm3Zn9Ag2 | Alexandria via LeMat-Bulk | PBE | optimized geometry" delta_e_f_mev_per_atom=-316 pbc="T T T"
Sm 0.0000 0.0000 0.0000
Sm 0.0000 0.0000 3.9722
Sm 0.0000 0.0000 9.4669
Zn 2.2340 -1.2454 2.2001
Zn 2.2340 -1.9340 4.8709
Zn 2.2340 1.2454 2.2001
Zn 0.0000 2.5014 1.8486
Zn 0.0000 4.4354 0.0000
Zn 2.2340 1.9340 4.8709
Zn 0.0000 3.1899 4.5194
Zn 0.0000 6.3693 1.8486
Zn 0.0000 5.6808 4.5194
Ag 2.2340 2.7649 0.0000
Ag 0.0000 1.6705 6.7195



12
Lattice="4.5677 0.0000 0.0000 -2.2839 3.9558 0.0000 0.0000 0.0000 17.1203" Properties=species:S:1:pos:R:3 comment="SrAl2As | Alexandria via LeMat-Bulk | PBE | optimized geometry" delta_e_f_mev_per_atom=-148 pbc="T T T"
Sr 0.0000 0.0000 0.0000
Sr 0.0000 2.6372 11.4135
Sr 2.2839 1.3186 5.7067
Al 0.0000 0.0000 3.5513
Al 0.0000 0.0000 13.5690
Al 0.0000 2.6372 7.8623
Al 0.0000 2.6372 14.9648
Al 2.2839 1.3186 2.1555
Al 2.2839 1.3186 9.2580
As 0.0000 0.0000 8.5601
As 0.0000 2.6372 2.8534
As 2.2839 1.3186 14.2669



One value per record, in order, for calculated volume: 28.27 39.27 17.74 20.69 37.56 31.44 19.02 25.78 Å³ per atom.